The following is a GGA-PBEsol calculation of an optimized crystal structure of La3BeIn, from the Alexandria database.

abc: 5.896 5.896 5.896
angles: 90.00 90.00 90.00
Last column: magnetic moment on the atom in μB.
Atoms (fractional coordinates):
1 Be 0.500 0.500 0.500  0.09
2 In 0.000 0.000 0.000  0.01
3 La 0.000 0.500 0.000  0.12
4 La 0.000 0.000 0.500  0.12
5 La 0.500 0.000 0.000  0.12

Calculated values
Its symmetry is Pm-3m, No. 221. The density of states at the Fermi level is 1.72 states/eV/atom. The value obtained for the total energy is -18.69 eV for the cell shown.